1.
Entry from Alexandria: crystalline SmSc2Os at its relaxed geometry (PBE).

Structure (CIF):
```
data_SmSc2Os
_symmetry_space_group_name_H-M 'P 4/m m m'
_symmetry_Int_Tables_number 123
_symmetry_space_group_name_Hall '-P 4 2'
_cell_length_a 3.2704
_cell_length_b 3.2704
_cell_length_c 8.5733
_cell_angle_alpha 90.00
_cell_angle_beta 90.00
_cell_angle_gamma 90.00
loop_
_atom_site_label
_atom_site_fract_x
_atom_site_fract_y
_atom_site_fract_z
Sm1 0.0000 0.0000 0.0000
Sc1 0.5000 0.5000 0.3220
Os1 0.0000 0.0000 0.5000
```

Output
Calculated volume   22.925 Å³/atom
DFT total energy   -7.409 eV/atom

***

2.
Entry from Alexandria: crystalline SmScOs4 at its relaxed geometry (PBE).

Structure (CIF):
```
data_SmScOs4
_symmetry_space_group_name_H-M 'F -4 3 m'
_symmetry_Int_Tables_number 216
_symmetry_space_group_name_Hall 'F -4 2 3'
_cell_length_a 7.5292
_cell_length_b 7.5292
_cell_length_c 7.5292
_cell_angle_alpha 90.00
_cell_angle_beta 90.00
_cell_angle_gamma 90.00
loop_
_atom_site_label
_atom_site_fract_x
_atom_site_fract_y
_atom_site_fract_z
Sm1 0.0000 0.0000 0.0000
Sc1 0.2500 0.2500 0.2500
Os1 0.1246 0.1246 0.6246
```

Output
Calculated volume   17.784 Å³/atom
DFT total energy   -9.541 eV/atom

***

3.
Entry from Alexandria: crystalline SmScZnOs at its relaxed geometry (PBE).

Structure (CIF):
```
data_SmScZnOs
_symmetry_space_group_name_H-M 'F -4 3 m'
_symmetry_Int_Tables_number 216
_symmetry_space_group_name_Hall 'F -4 2 3'
_cell_length_a 6.8299
_cell_length_b 6.8299
_cell_length_c 6.8299
_cell_angle_alpha 90.00
_cell_angle_beta 90.00
_cell_angle_gamma 90.00
loop_
_atom_site_label
_atom_site_fract_x
_atom_site_fract_y
_atom_site_fract_z
Sm1 0.0000 0.0000 0.0000
Sc1 0.0000 0.0000 0.5000
Zn1 0.2500 0.2500 0.2500
Os1 0.2500 0.2500 0.7500
```

Output
Calculated volume   19.912 Å³/atom
DFT total energy   -6.123 eV/atom